A geometry-optimized CrReP2O structure. Source: the Alexandria database, functional PBE with a Hubbard U.

Unit cell a=4.780 b=4.780 c=3.727 alpha=90.00 beta=90.00 gamma=90.00
Site moments in Bohr magnetons follow the coordinates.
Sites, in units of the cell vectors:
Re  0.000  0.000  0.000  0.33
O  0.000  0.000  0.500  0.01
P  0.000  0.500  0.000  -0.09
P  0.500  0.000  0.000  -0.09
Cr  0.500  0.500  0.500  4.23

Values from the calculation:
SG = P4/mmm, No. 123
E = -7.191 eV per atom
Distance to the lowest polymorph of the same formula = 0 meV per atom
N(E_F) = 0.431 states/eV/atom
M_tot = 0.938 μB/atom
Theoretical density = 6.164 g/cm3